# Ta2Mo (PBE, relaxed)
data_Ta2Mo
_chemical_formula_sum 'Ta4 Mo2'
_cell_length_a 2.8760
_cell_length_b 4.5932
_cell_length_c 7.8935
_cell_angle_alpha 90.00
_cell_angle_beta 88.74
_cell_angle_gamma 90.00
_space_group_name_H-M_alt 'P 1'
_space_group_IT_number 1
_space_group_name_Hall 'P 1'
loop_
_atom_site_label
_atom_site_fract_x
_atom_site_fract_y
_atom_site_fract_z
Ta1 0.3279 0.0000 0.6718
Ta2 0.6552 0.0000 0.3258
Ta3 0.0054 0.5000 0.4948
Ta4 0.6782 0.5000 0.8409
Mo1 0.0074 0.0000 0.0024
Mo2 0.3260 0.5000 0.1643
# ΔE to the lowest computed polymorph ... 80 meV/atom
# SG ... P2_1/m
# M_tot ... 0.000 μB per cell

# Ta2Mo (PBE, relaxed)
data_Ta2Mo
_chemical_formula_sum 'Ta4 Mo2'
_cell_length_a 5.4308
_cell_length_b 5.4362
_cell_length_c 5.4362
_cell_angle_alpha 130.42
_cell_angle_beta 117.45
_cell_angle_gamma 83.75
_space_group_name_H-M_alt 'P 1'
_space_group_IT_number 1
_space_group_name_Hall 'P 1'
loop_
_atom_site_label
_atom_site_fract_x
_atom_site_fract_y
_atom_site_fract_z
Ta1 0.6772 0.3448 0.3324
Ta2 0.3223 0.6606 0.6617
Ta3 0.1561 0.3219 0.8342
Ta4 0.5110 0.0060 0.5050
Mo1 0.0004 0.9968 0.0036
Mo2 0.8329 0.6698 0.1631
# ΔE to the lowest computed polymorph ... 16 meV/atom
# SG ... C2/m
# M_tot ... 0.000 μB per cell

# Ta3Mo5 (PBE, relaxed)
data_Ta3Mo5
_chemical_formula_sum 'Ta3 Mo5'
_cell_length_a 7.8545
_cell_length_b 22.2029
_cell_length_c 7.8545
_cell_angle_alpha 19.57
_cell_angle_beta 33.72
_cell_angle_gamma 19.57
_space_group_name_H-M_alt 'P 1'
_space_group_IT_number 1
_space_group_name_Hall 'P 1'
loop_
_atom_site_label
_atom_site_fract_x
_atom_site_fract_y
_atom_site_fract_z
Ta1 0.0000 0.3748 0.0000
Ta2 0.0000 0.8752 0.0000
Ta3 0.0000 0.6250 0.0000
Mo1 0.0000 0.0014 0.0000
Mo2 0.0000 0.1250 0.0000
Mo3 0.0000 0.4987 0.0000
Mo4 0.0000 0.2486 0.0000
Mo5 0.0000 0.7513 0.0000
# ΔE to the lowest computed polymorph ... 11 meV/atom
# SG ... R-3m
# M_tot ... 0.000 μB per cell

# Ta3Mo5 (PBE, relaxed)
data_Ta3Mo5
_chemical_formula_sum 'Ta3 Mo5'
_cell_length_a 2.8296
_cell_length_b 6.9325
_cell_length_c 6.9795
_cell_angle_alpha 81.05
_cell_angle_beta 82.00
_cell_angle_gamma 82.58
_space_group_name_H-M_alt 'P 1'
_space_group_IT_number 1
_space_group_name_Hall 'P 1'
loop_
_atom_site_label
_atom_site_fract_x
_atom_site_fract_y
_atom_site_fract_z
Mo1 0.0031 0.9948 0.0015
Mo2 0.9969 0.5052 0.4985
Mo3 0.5000 0.7500 0.7500
Mo4 0.7487 0.6294 0.1258
Mo5 0.2513 0.8706 0.3742
Ta1 0.2375 0.3803 0.8738
Ta2 0.5000 0.2500 0.2500
Ta3 0.7625 0.1197 0.6262
# ΔE to the lowest computed polymorph ... 83 meV/atom
# SG ... P-1
# M_tot ... 0.000 μB per cell

# Ta3Mo4 (PBE, relaxed)
data_Ta3Mo4
_chemical_formula_sum 'Ta3 Mo4'
_cell_length_a 5.3488
_cell_length_b 5.3488
_cell_length_c 5.3315
_cell_angle_alpha 85.19
_cell_angle_beta 85.19
_cell_angle_gamma 50.49
_space_group_name_H-M_alt 'P 1'
_space_group_IT_number 1
_space_group_name_Hall 'P 1'
loop_
_atom_site_label
_atom_site_fract_x
_atom_site_fract_y
_atom_site_fract_z
Mo1 0.7146 0.7146 0.1476
Mo2 0.9965 0.9965 0.9965
Mo3 0.8579 0.8579 0.5685
Mo4 0.4308 0.4308 0.2875
Ta1 0.1432 0.1432 0.4165
Ta2 0.5742 0.5742 0.7202
Ta3 0.2828 0.2828 0.8631
# SG ... Cm
# DFT total energy ... -11.416 eV per atom
# M_tot ... 0.000 μB per cell

# Ta3Mo5 (PBE, relaxed)
data_Ta3Mo5
_chemical_formula_sum 'Ta3 Mo5'
_cell_length_a 3.2166
_cell_length_b 4.5280
_cell_length_c 9.1205
_cell_angle_alpha 90.00
_cell_angle_beta 90.00
_cell_angle_gamma 90.00
_space_group_name_H-M_alt 'P 1'
_space_group_IT_number 1
_space_group_name_Hall 'P 1'
loop_
_atom_site_label
_atom_site_fract_x
_atom_site_fract_y
_atom_site_fract_z
Mo1 0.0000 0.0000 0.0040
Mo2 0.0000 0.5000 0.7561
Mo3 0.5000 0.5000 0.9956
Mo4 0.0000 0.0000 0.4961
Mo5 0.5000 0.0000 0.2482
Ta1 0.5000 0.0000 0.7509
Ta2 0.5000 0.5000 0.5047
Ta3 0.0000 0.5000 0.2443
# ΔE to the lowest computed polymorph ... 28 meV/atom
# SG ... Pmm2
# M_tot ... 0.000 μB per cell

# Ta3Mo5 (PBE, relaxed)
data_Ta3Mo5
_chemical_formula_sum 'Ta3 Mo5'
_cell_length_a 9.0271
_cell_length_b 2.8242
_cell_length_c 5.3029
_cell_angle_alpha 80.08
_cell_angle_beta 90.00
_cell_angle_gamma 90.00
_space_group_name_H-M_alt 'P 1'
_space_group_IT_number 1
_space_group_name_Hall 'P 1'
loop_
_atom_site_label
_atom_site_fract_x
_atom_site_fract_y
_atom_site_fract_z
Ta1 0.5072 0.0000 0.0000
Ta2 0.2461 0.7459 0.7487
Ta3 0.2461 0.2541 0.2513
Mo1 0.5055 0.5000 0.5000
Mo2 0.9940 0.5000 0.5000
Mo3 0.7534 0.7478 0.7487
Mo4 0.9943 0.0000 0.0000
Mo5 0.7534 0.2522 0.2513
# ΔE to the lowest computed polymorph ... 95 meV/atom
# SG ... P2
# M_tot ... 0.000 μB per cell

# Ta2Mo5 (PBE, relaxed)
data_Ta2Mo5
_chemical_formula_sum 'Ta2 Mo5'
_cell_length_a 11.5203
_cell_length_b 11.5203
_cell_length_c 11.5203
_cell_angle_alpha 164.07
_cell_angle_beta 164.07
_cell_angle_gamma 22.61
_space_group_name_H-M_alt 'P 1'
_space_group_IT_number 1
_space_group_name_Hall 'P 1'
loop_
_atom_site_label
_atom_site_fract_x
_atom_site_fract_y
_atom_site_fract_z
Mo1 0.8571 0.8571 0.0000
Mo2 0.2872 0.2872 0.0000
Mo3 0.7181 0.7181 0.0000
Mo4 0.9961 0.9961 0.0000
Mo5 0.4270 0.4270 0.0000
Ta1 0.1459 0.1459 0.0000
Ta2 0.5684 0.5684 0.0000
# ΔE to the lowest computed polymorph ... 59 meV/atom
# SG ... I4/mmm
# M_tot ... 0.000 μB per cell